K3Co2RuO6 | Alexandria | PBE with a Hubbard U | optimized geometry; SG = C2/m (12); total DFT energy (no corrections) = -5.42 eV/atom
1.0
2.681 -4.642 0.000
2.681 4.642 0.000
-1.789 0.000 5.833
K Co Ru O
3 2 1 6
direct
0.000 0.000 0.000
0.335 0.665 0.000
0.665 0.335 0.000
0.167 0.833 0.500
0.833 0.167 0.500
0.500 0.500 0.500
0.101 0.445 0.334
0.211 0.211 0.665
0.445 0.101 0.334
0.555 0.899 0.666
0.789 0.789 0.335
0.899 0.555 0.666